Record 1
20
Lattice="7.304 0.000 0.000 3.652 6.326 0.000 3.652 2.109 13.012" Properties=species:S:1:pos:R:3 comment="Sr2CdIn6Au, optimized geometry, DFT GGA-PBE" magnetic_moment_mub_per_cell=0.00 sg="R-3m, No. 166" final_energy_ev_per_atom=-2.608 e_form_mev_per_atom=-210 pbc="T T T"
Sr 10.957 6.326 4.102
In 8.831 3.336 11.804
In 7.304 5.980 11.804
Sr 3.652 2.109 8.910
In 7.304 2.455 1.207
In 5.131 5.472 7.734
In 9.478 2.963 5.277
Au 0.000 0.000 0.000
In 9.478 5.472 7.734
Sr 10.957 6.326 10.919
Sr 3.652 2.109 2.092
In 5.778 5.098 1.207
Cd 7.304 4.217 9.397
In 5.778 3.336 11.804
Cd 7.304 4.217 3.614
Au 7.304 4.217 6.506
In 7.304 6.727 5.277
In 8.831 5.098 1.207
In 5.131 2.963 5.277
In 7.304 1.708 7.734

Record 2
3
Lattice="3.905 0.000 0.000 1.953 3.383 0.000 1.953 1.119 6.302" Properties=species:S:1:pos:R:3 comment="KCaN, optimized geometry, DFT GGA-PBE" magnetic_moment_mub_per_cell=0.12 sg="Cm, No. 8" final_energy_ev_per_atom=-3.941 e_form_raw_ev_per_atom=-0.1329 pbc="T T T"
K 4.881 4.223 5.204
N 2.929 3.096 3.405
Ca 4.881 1.968 2.698